DFT (PBE) results for an optimized crystal structure of OsPt2Pb.

## Properties
Its calculated formation energy is 0.45 eV per atom. As for the total moment: 0.0 μB per formula unit.

a b c (Å): 9.223 3.052 5.079
angles (deg): 90.00 99.88 90.00
Space group C2/m (No. 12)
Inequivalent atoms, fractional coordinates:
Os: 0.000 0.000 0.000 x2
Pt: 0.239 0.500 0.220 x4
Pb: 0.000 0.500 0.500 x2